# 1
Here is a relaxed LaCd2Cl crystal from Alexandria. Energies are from GGA-PBEsol.

a b c (Å): 3.6554 4.4217 6.2850
angles (deg): 90.00 90.00 91.95
Element x y z (fractional)
Cl 0.0000 0.5000 0.5000
Cd 0.2480 0.2469 0.0000
Cd 0.7520 0.7531 0.0000
La 0.5000 0.0000 0.5000

Summary:
Its energy above the most stable polymorph in this dataset is 0.00 eV per formula unit.



# 2
Here is a relaxed Pr11In9Ni4 crystal from Alexandria. Energies are from GGA-PBEsol.

a b c (Å): 3.7407 13.2286 13.2286
angles (deg): 112.52 90.00 90.00
Element x y z (fractional)
Pr 0.5000 0.5000 0.5000
Pr 0.5000 0.8133 0.8133
Pr 0.5000 0.1867 0.1867
Pr 0.5000 0.5765 0.9165
Pr 0.5000 0.4235 0.0835
Pr 0.5000 0.9165 0.5765
Pr 0.5000 0.0835 0.4235
Pr 0.5000 0.1255 0.8745
Pr 0.5000 0.8745 0.1255
Pr 0.5000 0.3384 0.6616
Pr 0.5000 0.6616 0.3384
In 0.0000 0.3365 0.8675
In 0.0000 0.6635 0.1325
In 0.0000 0.8675 0.3365
In 0.0000 0.1325 0.6635
In 0.0000 0.5819 0.7208
In 0.0000 0.4181 0.2792
In 0.0000 0.7208 0.5819
In 0.0000 0.2792 0.4181
In 0.0000 0.0000 0.0000
Ni 0.0000 0.7457 0.9483
Ni 0.0000 0.2543 0.0517
Ni 0.0000 0.9483 0.7457
Ni 0.0000 0.0517 0.2543

Summary:
The value obtained for the formation energy is -0.499 eV/atom.



# 3
Here is a relaxed RbSN2O crystal from Alexandria. Energies are from GGA-PBEsol.

a b c (Å): 3.4684 5.2140 5.2140
angles (deg): 90.00 90.00 90.00
Element x y z (fractional)
S 0.5000 0.0000 0.0000
O 0.0000 0.0000 0.0000
Rb 0.5000 0.5000 0.5000
N 0.0000 0.0000 0.5000
N 0.0000 0.5000 0.0000

Summary:
The value obtained for the raw total energy is -3.89 eV per atom.



# 4
Here is a relaxed K2ReNi crystal from Alexandria. Energies are from GGA-PBEsol.

a b c (Å): 2.6690 4.9508 5.6190
angles (deg): 90.00 90.00 94.88
Element x y z (fractional)
K 0.2147 0.2563 0.0000
K 0.7853 0.7437 0.0000
Ni 0.0000 0.5000 0.5000
Re 0.5000 0.0000 0.5000

Summary:
The value obtained for the formation energy is 1.377 eV/atom. Its energy above the most stable polymorph in this dataset is 2.35 eV per formula unit.



# 5
Here is a relaxed Ta3W crystal from Alexandria. Energies are from GGA-PBEsol.

a b c (Å): 4.5836 4.5836 4.5836
angles (deg): 60.00 60.00 60.00
Element x y z (fractional)
W 0.0000 0.0000 0.0000
Ta 0.2500 0.2500 0.2500
Ta 0.7500 0.7500 0.7500
Ta 0.5000 0.5000 0.5000

Summary:
The value obtained for the formation energy is -0.042 eV/atom.



# 6
Here is a relaxed Zr4N2O5 crystal from Alexandria. Energies are from GGA-PBEsol.

a b c (Å): 8.7644 8.7644 8.7644
angles (deg): 109.14 109.14 110.13
Element x y z (fractional)
Zr 0.2171 0.4913 0.2140
Zr 0.9988 0.9988 0.0000
Zr 0.4629 0.9629 0.5000
Zr 0.4988 0.4988 0.0000
Zr 0.7773 0.9913 0.2742
Zr 0.2033 0.7033 0.9571
Zr 0.7033 0.7462 0.5000
Zr 0.4913 0.2773 0.2742
Zr 0.9913 0.7171 0.2140
Zr 0.0031 0.2171 0.7258
Zr 0.5031 0.7773 0.7860
Zr 0.7462 0.2462 0.0429
Zr 0.2462 0.2033 0.5000
Zr 0.7171 0.5031 0.7258
Zr 0.9629 0.4629 0.5000
Zr 0.2773 0.0031 0.7860
N 0.2489 0.7489 0.2270
N 0.2174 0.7174 0.7206
N 0.7174 0.9968 0.5000
N 0.0219 0.2489 0.5000
N 0.7489 0.5219 0.5000
N 0.9968 0.4968 0.2794
N 0.4968 0.2174 0.5000
N 0.5219 0.0219 0.7730
O 0.0081 0.9754 0.2406
O 0.2663 0.9998 0.0326
O 0.4998 0.7663 0.0326
O 0.1960 0.9400 0.5000
O 0.4754 0.5081 0.2406
O 0.4400 0.6960 0.5000
O 0.2336 0.2663 0.2665
O 0.5081 0.2675 0.0327
O 0.7663 0.7336 0.2665
O 0.4672 0.4998 0.7335
O 0.2349 0.4754 0.9673
O 0.7349 0.7675 0.7594
O 0.9998 0.9672 0.7335
O 0.6960 0.1960 0.2560
O 0.2675 0.2349 0.7594
O 0.7675 0.0081 0.0327
O 0.9754 0.7349 0.9673
O 0.9400 0.4400 0.7440
O 0.7336 0.4672 0.9674
O 0.9672 0.2336 0.9674

Summary:
Its energy above the most stable polymorph in this dataset is 0.00 eV per formula unit.



Number 1: spin magnetization 0.0 μB per formula unit. Number 2: spin magnetization 0.0 μB per formula unit. Number 3: spin magnetization 5.4 μB per formula unit. Number 4: spin magnetization 0.6 μB per formula unit. Number 5: spin magnetization 0.0 μB per formula unit. Number 6: spin magnetization 0.0 μB per formula unit.